First-principles (PBE with a Hubbard U) data for a relaxed structure of RbV2GaO8, as listed in Alexandria.

a = 5.646 Å, b = 5.646 Å, c = 7.802 Å
α = 90.00°, β = 90.00°, γ = 120.00°
Fractional coordinates of all 12 atoms:
O 0.667 0.333 0.069
O 0.837 0.162 0.353
O 0.838 0.675 0.353
O 0.325 0.163 0.353
O 0.333 0.667 0.931
O 0.163 0.838 0.647
O 0.162 0.325 0.647
O 0.675 0.837 0.647
Ga 0.000 0.000 0.500
V 0.667 0.333 0.286
V 0.333 0.667 0.714
Rb 0.000 0.000 0.000

Computed properties:
Raw total energy in eV per atom: -6.448
Total magnetic moment in μB/cell: 2.0
Symmetry: No. 147